Entry from the Alexandria database: an optimized crystal structure of MoIF3 (GGA+U).

Computed properties:
polymorph energy (0 for the lowest one)	1191.0	meV per atom

Cell lengths 4.7910, 4.7910, 4.7910 Å; angles 90.00, 90.00, 90.00 degrees
Last column: nearest neighbours and their distance in Å.
Fractional coordinates of all 5 atoms:
1 I 0.0000 0.0000 0.0000  6 F 2.40
2 F 0.0000 0.0000 0.5000  2 I 2.40
3 F 0.5000 0.0000 0.0000  2 I 2.40
4 F 0.0000 0.5000 0.0000  2 I 2.40
5 Mo 0.5000 0.5000 0.5000  12 F 3.39